<i>
DFT (PBE) results for a relaxed structure of CdHRh2Au.

a = 4.072 Å, b = 4.072 Å, c = 4.114 Å
α = 90.00°, β = 90.00°, γ = 90.00°
Space group P4/mmm (No. 123)
Asymmetric unit:
Cd1 0.000 0.000 0.000 (multiplicity 1)
H1 0.500 0.500 0.500 (multiplicity 1)
Rh1 0.000 0.500 0.500 (multiplicity 2)
Au1 0.500 0.500 0.000 (multiplicity 1)

Values from the calculation:
The crystal system is tetragonal. The total magnetization comes out at 0.00 μB per formula unit.

<ii>
DFT (PBE) results for a relaxed structure of CdHRh2Au.

a = 3.988 Å, b = 3.988 Å, c = 4.300 Å
α = 90.00°, β = 90.00°, γ = 90.00°
Space group P4/mmm (No. 123)
Asymmetric unit:
Cd1 0.000 0.000 0.000 (multiplicity 1)
H1 0.000 0.000 0.500 (multiplicity 1)
Rh1 0.000 0.500 0.500 (multiplicity 2)
Au1 0.500 0.500 0.000 (multiplicity 1)

Values from the calculation:
The crystal system is tetragonal. The total magnetization comes out at 0.67 μB per formula unit.

<i> is the most stable structure; the next one sits 20 meV/atom above it.

<i>
DFT (PBE) results for a relaxed structure of CdHAuSe.

a = 7.307 Å, b = 4.579 Å, c = 6.126 Å
α = 90.00°, β = 103.29°, γ = 90.00°
Space group Cm (No. 8)
Asymmetric unit:
Cd1 0.000 0.000 0.000 (multiplicity 2)
H1 0.399 0.500 0.278 (multiplicity 2)
Au1 0.089 0.000 0.479 (multiplicity 2)
Se1 0.312 0.000 0.849 (multiplicity 2)

Values from the calculation:
The crystal system is monoclinic. The total magnetization comes out at 0.00 μB per formula unit.

<ii>
DFT (PBE) results for a relaxed structure of CdHAuSe.

a = 3.866 Å, b = 3.634 Å, c = 6.177 Å
α = 90.00°, β = 107.95°, γ = 90.00°
Space group Pm (No. 6)
Asymmetric unit:
Cd1 0.000 0.000 0.000 (multiplicity 1)
H1 0.820 0.000 0.623 (multiplicity 1)
Au1 0.810 0.500 0.608 (multiplicity 1)
Se1 0.580 0.500 0.162 (multiplicity 1)

Values from the calculation:
The crystal system is monoclinic. The total magnetization comes out at 0.00 μB per formula unit.

<i> is the most stable structure; the next one sits 127 meV/atom above it.

<i>
DFT (PBE) results for a relaxed structure of CdHAuSe.

a = 12.239 Å, b = 4.402 Å, c = 3.761 Å
α = 90.00°, β = 95.76°, γ = 90.00°
Space group Cm (No. 8)
Asymmetric unit:
Cd1 0.000 0.000 0.000 (multiplicity 2)
H1 0.084 0.500 0.518 (multiplicity 2)
Au1 0.339 0.500 0.471 (multiplicity 2)
Se1 0.136 0.500 0.175 (multiplicity 2)

Values from the calculation:
The crystal system is monoclinic. The total magnetization comes out at 0.00 μB per formula unit.

<ii>
DFT (PBE) results for a relaxed structure of CdHAuSe.

a = 6.576 Å, b = 4.092 Å, c = 6.377 Å
α = 90.00°, β = 104.00°, γ = 90.00°
Space group Cm (No. 8)
Asymmetric unit:
Cd1 0.000 0.000 0.000 (multiplicity 2)
H1 0.190 0.000 0.601 (multiplicity 2)
Au1 0.417 0.000 0.259 (multiplicity 2)
Se1 0.457 0.500 0.566 (multiplicity 2)

Values from the calculation:
The crystal system is monoclinic. The total magnetization comes out at 0.00 μB per formula unit.

<ii> is the most stable structure; the next one sits 24 meV/atom above it.